(1)
Entry from Alexandria via LeMat-Bulk: PmGa4Cu2Rh after structural relaxation (PBE).

As for the energy of formation from the pure elements: -0.4078 eV per atom.

It has space group R-3m (No. 166, hexagonal axes), with a = 4.1919 Å, b = 4.1919 Å, c = 26.9219 Å, α = 90.00°, β = 90.00° and γ = 120.00°. The distinct sites, in fractional coordinates, are Pm at (0.0000, 0.0000, 0.0000), Ga at (0.0000, 0.0000, 0.1292), Ga at (0.0000, 0.0000, 0.4024), Cu at (0.0000, 0.0000, 0.2372) and Rh at (0.0000, 0.0000, 0.5000).

***

(2)
Entry from Alexandria via LeMat-Bulk: BaNaZr2Al after structural relaxation (PBE).

As for the energy of formation from the pure elements: 1.6514 eV per atom.

It has space group P4/mmm (No. 123), with a = 5.410 Å, b = 5.410 Å, c = 5.294 Å, α = 90.00°, β = 90.00° and γ = 90.00°. The distinct sites, in fractional coordinates, are Ba at (0.000, 0.000, 0.000), Na at (0.000, 0.000, 0.500), Zr at (0.000, 0.500, 0.000) and Al at (0.500, 0.500, 0.500).

***

(3)
Entry from Alexandria via LeMat-Bulk: CaNb3Au after structural relaxation (PBE).

As for the energy of formation from the pure elements: 2.1545 eV per atom.

It has space group Pm-3m (No. 221), with a = 4.704 Å, b = 4.704 Å, c = 4.704 Å, α = 90.00°, β = 90.00° and γ = 90.00°. The distinct sites, in fractional coordinates, are Ca at (0.000, 0.000, 0.000), Nb at (0.000, 0.000, 0.500) and Au at (0.500, 0.500, 0.500).

***

(4)
Entry from Alexandria via LeMat-Bulk: PmPuTlPt after structural relaxation (PBE).

As for the energy of formation from the pure elements: -0.4109 eV per atom.

It has space group F-43m (No. 216), with a = 7.404 Å, b = 7.404 Å, c = 7.404 Å, α = 90.00°, β = 90.00° and γ = 90.00°. The distinct sites, in fractional coordinates, are Pm at (0.000, 0.000, 0.000), Pu at (0.000, 0.000, 0.500), Tl at (0.250, 0.250, 0.750) and Pt at (0.250, 0.250, 0.250).

***

(5)
Entry from Alexandria via LeMat-Bulk: Ac2Bi4Rh3Au after structural relaxation (PBE).

As for the energy of formation from the pure elements: -0.5111 eV per atom.

It has space group P-4m2 (No. 115), with a = 4.891 Å, b = 4.891 Å, c = 10.736 Å, α = 90.00°, β = 90.00° and γ = 90.00°. The distinct sites, in fractional coordinates, are Ac at (0.000, 0.500, 0.239), Bi at (0.000, 0.000, 0.500), Bi at (0.000, 0.500, 0.866), Bi at (0.500, 0.500, 0.500), Rh at (0.000, 0.000, 0.000), Rh at (0.000, 0.500, 0.618) and Au at (0.500, 0.500, 0.000).

***

(6)
Entry from Alexandria via LeMat-Bulk: La2ZrPaP4 after structural relaxation (PBE).

As for the energy of formation from the pure elements: -1.4445 eV per atom.

It has space group P2/m (No. 10), with a = 6.936 Å, b = 4.032 Å, c = 7.099 Å, α = 90.00°, β = 109.04° and γ = 90.00°. The distinct sites, in fractional coordinates, are La at (0.000, 0.000, 0.000), La at (0.500, 0.500, 0.000), Zr at (0.000, 0.500, 0.500), Pa at (0.500, 0.000, 0.500), P at (0.236, 0.000, 0.721) and P at (0.252, 0.500, 0.276).

***

(7)
Entry from Alexandria via LeMat-Bulk: Mn2V5CrRu2 after structural relaxation (PBE).

As for the energy of formation from the pure elements: 0.1045 eV per atom.

It has space group P4/mbm (No. 127), with a = 9.392 Å, b = 9.392 Å, c = 2.972 Å, α = 90.00°, β = 90.00° and γ = 90.00°. The distinct sites, in fractional coordinates, are Mn at (0.133, 0.367, 0.000), V at (0.000, 0.500, 0.500), V at (0.054, 0.197, 0.500), Cr at (0.000, 0.000, 0.000) and Ru at (0.172, 0.672, 0.000).

***

(8)
Entry from Alexandria via LeMat-Bulk: Ho6Er5Mg2 after structural relaxation (PBE).

As for the energy of formation from the pure elements: 0.1448 eV per atom.

It has space group Pbam (No. 55), with a = 10.238 Å, b = 22.301 Å, c = 3.514 Å, α = 90.00°, β = 90.00° and γ = 90.00°. The distinct sites, in fractional coordinates, are Ho at (0.020, 0.113, 0.000), Ho at (0.142, 0.382, 0.000), Ho at (0.169, 0.634, 0.500), Er at (0.000, 0.500, 0.500), Er at (0.078, 0.249, 0.500), Er at (0.166, 0.994, 0.500) and Mg at (0.172, 0.761, 0.000).

***

(9)
Entry from Alexandria via LeMat-Bulk: ReSb3Cl after structural relaxation (PBE).

As for the formation energy (no corrections): 0.40 eV per atom.

It has space group Pm-3m (No. 221), with a = 5.203 Å, b = 5.203 Å, c = 5.203 Å, α = 90.00°, β = 90.00° and γ = 90.00°. The distinct sites, in fractional coordinates, are Re at (0.000, 0.000, 0.000), Sb at (0.000, 0.000, 0.500) and Cl at (0.500, 0.500, 0.500).

***

(10)
Entry from Alexandria via LeMat-Bulk: Cu2HgAsC after structural relaxation (PBE).

As for the energy of formation from the pure elements: 2.1939 eV per atom.

It has space group P4/mmm (No. 123), with a = 4.861 Å, b = 4.861 Å, c = 5.081 Å, α = 90.00°, β = 90.00° and γ = 90.00°. The distinct sites, in fractional coordinates, are Cu at (0.000, 0.500, 0.000), Hg at (0.000, 0.000, 0.000), As at (0.000, 0.000, 0.500) and C at (0.500, 0.500, 0.500).

***

(11)
Entry from Alexandria via LeMat-Bulk: Th6SiBi3As2 after structural relaxation (PBE).

As for the formation energy (no corrections): -0.90 eV per atom.

It has space group C2/m (No. 12), with a = 19.463 Å, b = 4.373 Å, c = 8.962 Å, α = 90.00°, β = 105.33° and γ = 90.00°. The distinct sites, in fractional coordinates, are Th at (0.006, 0.000, 0.227), Th at (0.157, 0.500, 0.098), Th at (0.173, 0.500, 0.565), Si at (0.000, 0.500, 0.000), Bi at (0.000, 0.500, 0.500), Bi at (0.168, 0.000, 0.833) and As at (0.167, 0.000, 0.333).

***

(12)
Entry from Alexandria via LeMat-Bulk: Li8InSn5 after structural relaxation (PBE).

As for the energy of formation from the pure elements: -0.2422 eV per atom.

It has space group I-4 (No. 82), with a = 7.875 Å, b = 7.875 Å, c = 9.286 Å, α = 90.00°, β = 90.00° and γ = 90.00°. The distinct sites, in fractional coordinates, are Li at (0.077, 0.346, 0.010), Li at (0.087, 0.183, 0.610), In at (0.000, 0.000, 0.000), Sn at (0.000, 0.500, 0.750) and Sn at (0.135, 0.263, 0.304).